Computed, not measured: a relaxed structure of SrW2Au at the PBE level of DFT.

Cell: 5.443 2.987 5.056 Å, 86.70 90.00 90.00°
Sites, in units of the cell vectors:
Au1 0.500 0.250 0.250
W1 0.000 0.127 0.002
W2 0.000 0.373 0.498
Sr1 0.500 0.750 0.750

**Energy relative to the lowest polymorph listed for this composition**: 420 meV per atom
**Crystal system**: monoclinic
**Density of states at the Fermi level**: 0.84 states/eV per atom
**DFT formation energy**: 3.38 eV per formula unit
**Total DFT energy (no corrections)**: -6.871 eV per atom
**Size of the total moment**: 0.0 μB per cell